[1]
# TlCo4Hg, relaxed, DFT GGA-PBE
data_TlCo4Hg
_chemical_formula_sum 'Tl4 Co16 Hg4'
_cell_length_a 7.074
_cell_length_b 7.074
_cell_length_c 7.074
_cell_angle_alpha 90.00
_cell_angle_beta 90.00
_cell_angle_gamma 90.00
_space_group_name_H-M_alt 'F -4 3 m'
_space_group_IT_number 216
_space_group_name_Hall 'F -4 2 3'
loop_
_atom_site_label
_atom_site_fract_x
_atom_site_fract_y
_atom_site_fract_z
_atom_site_occupancy
Tl1 0.000 0.000 0.000 1
Co1 0.125 0.125 0.625 1
Hg1 0.250 0.250 0.250 1
# - Volume: 14.750 Å³/atom
# - Raw total energy: -4.7389 eV per atom
# - Fermi-level density of states: 1.42 states/eV per atom

[2]
# U3Co, relaxed, DFT GGA-PBE
data_U3Co
_chemical_formula_sum 'U6 Co2'
_cell_length_a 2.874
_cell_length_b 10.503
_cell_length_c 4.812
_cell_angle_alpha 90.00
_cell_angle_beta 90.00
_cell_angle_gamma 90.00
_space_group_name_H-M_alt 'I m m 2'
_space_group_IT_number 44
loop_
_space_group_symop_operation_xyz
'x,y,z'
'-x,-y,z'
'-x,y,z'
'x,-y,z'
'x+1/2,y+1/2,z+1/2'
'-x+1/2,-y+1/2,z+1/2'
'-x+1/2,y+1/2,z+1/2'
'x+1/2,-y+1/2,z+1/2'
loop_
_atom_site_label
_atom_site_fract_x
_atom_site_fract_y
_atom_site_fract_z
_atom_site_occupancy
U1 0.000 0.000 0.000 1
U2 0.000 0.209 0.670 1
Co1 0.000 0.500 0.941 1
# - Volume: 18.160 Å³/atom
# - Raw total energy: -10.2039 eV per atom
# - Fermi-level density of states: 2.30 states/eV per atom

[3]
# Ni3Br4, relaxed, DFT GGA-PBE
data_Ni3Br4
_chemical_formula_sum 'Ni3 Br4'
_cell_length_a 5.7063
_cell_length_b 5.7063
_cell_length_c 4.9689
_cell_angle_alpha 90.00
_cell_angle_beta 90.00
_cell_angle_gamma 120.00
_space_group_name_H-M_alt 'P 6/m m m'
_space_group_IT_number 191
_space_group_name_Hall '-P 6 2'
loop_
_atom_site_label
_atom_site_fract_x
_atom_site_fract_y
_atom_site_fract_z
_atom_site_occupancy
Ni1 0.0000 0.5000 0.0000 1
Br1 0.0000 0.0000 0.2504 1
Br2 0.3333 0.6667 0.5000 1
# - Volume: 20.017 Å³/atom
# - Raw total energy: -2.6969 eV per atom
# - Formation energy (no corrections): 0.737 eV/atom
# - Fermi-level density of states: 2.09 states/eV per atom

volume of number 1 (TlCo4Hg)? 14.750 Å³/atom

Look up the raw total energy of the third one. -2.6969 eV per atom

The highest volume belongs to which entry? Ni3Br4